No. 1
TePd8: relaxed, PBE-GGA.

Summary:
As for the energy above the most stable polymorph in this dataset: 0.045 eV/atom. Its final energy is -5.0481 eV per atom.

Cell: 4.786 4.786 28.021 Å, 90.40 90.40 48.77°
Fractional positions:
Te: 0.056 0.056 0.236
Te: 0.944 0.944 0.764
Pd: 0.053 0.053 0.547
Pd: 0.151 0.151 0.328
Pd: 0.151 0.151 0.642
Pd: 0.246 0.246 0.422
Pd: 0.247 0.247 0.742
Pd: 0.351 0.351 0.516
Pd: 0.449 0.449 0.293
Pd: 0.453 0.453 0.610
Pd: 0.547 0.547 0.390
Pd: 0.551 0.551 0.707
Pd: 0.649 0.649 0.484
Pd: 0.753 0.753 0.258
Pd: 0.754 0.754 0.578
Pd: 0.849 0.849 0.358
Pd: 0.849 0.849 0.672
Pd: 0.947 0.947 0.453

---

No. 2
Te3Pd13: relaxed, PBE-GGA.

Summary:
Its final energy is -5.0200 eV per atom.

Cell: 9.058 9.058 9.058 Å, 60.00 60.00 60.00°
Fractional positions:
Te: 0.000 0.000 0.000
Te: 0.000 0.000 0.500
Te: 0.000 0.500 0.000
Te: 0.375 0.375 0.375
Te: 0.500 0.000 0.000
Te: 0.625 0.625 0.625
Pd: 0.000 0.500 0.500
Pd: 0.113 0.113 0.637
Pd: 0.113 0.637 0.113
Pd: 0.113 0.637 0.637
Pd: 0.125 0.125 0.125
Pd: 0.260 0.260 0.260
Pd: 0.260 0.260 0.721
Pd: 0.260 0.721 0.260
Pd: 0.279 0.740 0.740
Pd: 0.363 0.363 0.887
Pd: 0.363 0.887 0.363
Pd: 0.363 0.887 0.887
Pd: 0.500 0.000 0.500
Pd: 0.500 0.500 0.000
Pd: 0.500 0.500 0.500
Pd: 0.637 0.113 0.113
Pd: 0.637 0.113 0.637
Pd: 0.637 0.637 0.113
Pd: 0.721 0.260 0.260
Pd: 0.740 0.279 0.740
Pd: 0.740 0.740 0.279
Pd: 0.740 0.740 0.740
Pd: 0.875 0.875 0.875
Pd: 0.887 0.363 0.363
Pd: 0.887 0.363 0.887
Pd: 0.887 0.887 0.363

---

No. 3
TePd17: relaxed, PBE-GGA.

Summary:
Its final energy is -5.0598 eV per atom.

Cell: 5.552 5.552 29.628 Å, 90.00 90.00 120.00°
Fractional positions:
Te: 0.333 0.667 0.192
Te: 0.667 0.333 0.808
Pd: 0.000 0.000 0.268
Pd: 0.000 0.000 0.500
Pd: 0.000 0.000 0.732
Pd: 0.000 0.500 0.267
Pd: 0.000 0.500 0.500
Pd: 0.000 0.500 0.733
Pd: 0.166 0.332 0.812
Pd: 0.166 0.834 0.812
Pd: 0.167 0.334 0.346
Pd: 0.167 0.334 0.577
Pd: 0.167 0.833 0.346
Pd: 0.167 0.833 0.577
Pd: 0.332 0.166 0.188
Pd: 0.333 0.667 0.423
Pd: 0.333 0.667 0.655
Pd: 0.334 0.167 0.423
Pd: 0.334 0.167 0.654
Pd: 0.500 0.000 0.267
Pd: 0.500 0.000 0.500
Pd: 0.500 0.000 0.733
Pd: 0.500 0.500 0.267
Pd: 0.500 0.500 0.500
Pd: 0.500 0.500 0.733
Pd: 0.666 0.833 0.346
Pd: 0.666 0.833 0.577
Pd: 0.667 0.333 0.345
Pd: 0.667 0.333 0.577
Pd: 0.668 0.834 0.812
Pd: 0.833 0.167 0.423
Pd: 0.833 0.167 0.654
Pd: 0.833 0.666 0.423
Pd: 0.833 0.666 0.654
Pd: 0.834 0.166 0.188
Pd: 0.834 0.668 0.188

---

No. 4
TePd8: relaxed, PBE-GGA.

Summary:
As for the energy above the most stable polymorph in this dataset: 0.130 eV/atom. Its final energy is -4.9630 eV per atom.

Cell: 7.617 7.617 2.909 Å, 90.00 90.00 120.00°
Fractional positions:
Te: 0.000 0.000 0.000
Pd: 0.000 0.302 0.500
Pd: 0.000 0.636 0.000
Pd: 0.302 0.000 0.500
Pd: 0.333 0.667 0.500
Pd: 0.364 0.364 0.000
Pd: 0.636 0.000 0.000
Pd: 0.667 0.333 0.500
Pd: 0.698 0.698 0.500

---

No. 5
Te2Pd15: relaxed, PBE-GGA.

Summary:
Its final energy is -4.9506 eV per atom.

Cell: 6.046 6.046 27.942 Å, 90.68 90.68 27.53°
Fractional positions:
Te: 0.025 0.025 0.258
Te: 0.975 0.975 0.742
Pd: 0.079 0.079 0.162
Pd: 0.131 0.131 0.066
Pd: 0.185 0.185 0.967
Pd: 0.235 0.235 0.869
Pd: 0.293 0.293 0.768
Pd: 0.389 0.389 0.198
Pd: 0.447 0.447 0.097
Pd: 0.500 0.500 0.000
Pd: 0.553 0.553 0.903
Pd: 0.611 0.611 0.802
Pd: 0.707 0.707 0.232
Pd: 0.765 0.765 0.131
Pd: 0.815 0.815 0.033
Pd: 0.869 0.869 0.934
Pd: 0.921 0.921 0.838

---

No. 6
TePd10: relaxed, PBE-GGA.

Summary:
As for the energy above the most stable polymorph in this dataset: 0.050 eV/atom. Its final energy is -5.0218 eV per atom.

Cell: 2.887 3.886 39.754 Å, 90.00 90.00 90.00°
Fractional positions:
Te: 0.000 0.000 0.000
Te: 0.500 0.500 0.271
Pd: 0.000 0.000 0.303
Pd: 0.000 0.000 0.376
Pd: 0.000 0.000 0.445
Pd: 0.000 0.000 0.515
Pd: 0.000 0.000 0.584
Pd: 0.000 0.000 0.653
Pd: 0.000 0.000 0.721
Pd: 0.000 0.000 0.791
Pd: 0.000 0.000 0.861
Pd: 0.000 0.000 0.930
Pd: 0.500 0.500 0.340
Pd: 0.500 0.500 0.410
Pd: 0.500 0.500 0.480
Pd: 0.500 0.500 0.549
Pd: 0.500 0.500 0.618
Pd: 0.500 0.500 0.687
Pd: 0.500 0.500 0.756
Pd: 0.500 0.500 0.825
Pd: 0.500 0.500 0.895
Pd: 0.500 0.500 0.968

---

No. 7
TePd7: relaxed, PBE-GGA.

Summary:
As for the energy above the most stable polymorph in this dataset: 0.000 eV/atom. Its final energy is -4.9698 eV per atom.

Cell: 2.916 3.872 25.585 Å, 90.00 90.00 90.00°
Fractional positions:
Te: 0.000 0.000 0.000
Te: 0.500 0.500 0.192
Pd: 0.000 0.000 0.241
Pd: 0.000 0.000 0.354
Pd: 0.000 0.000 0.461
Pd: 0.000 0.000 0.569
Pd: 0.000 0.000 0.676
Pd: 0.000 0.000 0.785
Pd: 0.000 0.000 0.893
Pd: 0.500 0.500 0.299
Pd: 0.500 0.500 0.407
Pd: 0.500 0.500 0.515
Pd: 0.500 0.500 0.623
Pd: 0.500 0.500 0.730
Pd: 0.500 0.500 0.838
Pd: 0.500 0.500 0.951

---

No. 8
TePd17: relaxed, PBE-GGA.

Summary:
Its final energy is -5.0614 eV per atom.

Cell: 4.787 5.565 30.551 Å, 90.00 90.09 90.00°
Fractional positions:
Te: 0.166 0.250 0.299
Te: 0.834 0.750 0.701
Pd: 0.000 0.000 0.000
Pd: 0.000 0.500 0.000
Pd: 0.001 0.001 0.775
Pd: 0.001 0.499 0.775
Pd: 0.165 0.750 0.075
Pd: 0.166 0.250 0.074
Pd: 0.167 0.750 0.301
Pd: 0.168 0.250 0.850
Pd: 0.168 0.750 0.850
Pd: 0.331 0.000 0.149
Pd: 0.331 0.500 0.149
Pd: 0.334 0.000 0.925
Pd: 0.334 0.500 0.925
Pd: 0.335 0.002 0.698
Pd: 0.335 0.498 0.698
Pd: 0.499 0.750 0.000
Pd: 0.500 0.250 0.225
Pd: 0.500 0.250 0.775
Pd: 0.500 0.750 0.225
Pd: 0.500 0.750 0.775
Pd: 0.501 0.250 0.000
Pd: 0.665 0.502 0.302
Pd: 0.665 0.998 0.302
Pd: 0.666 0.000 0.075
Pd: 0.666 0.500 0.075
Pd: 0.669 0.000 0.851
Pd: 0.669 0.500 0.851
Pd: 0.832 0.250 0.150
Pd: 0.832 0.750 0.150
Pd: 0.833 0.250 0.699
Pd: 0.834 0.750 0.926
Pd: 0.835 0.250 0.925
Pd: 0.999 0.501 0.225
Pd: 0.999 0.999 0.225

---

No. 9
TePd2: relaxed, PBE-GGA.

Summary:
Its final energy is -4.3771 eV per atom.

Cell: 5.428 5.428 5.428 Å, 60.00 60.00 60.00°
Fractional positions:
Te: 0.125 0.125 0.125
Te: 0.875 0.875 0.875
Pd: 0.000 0.500 0.500
Pd: 0.500 0.000 0.500
Pd: 0.500 0.500 0.000
Pd: 0.500 0.500 0.500

---

No. 10
ThTe2Pd2: relaxed, PBE-GGA.

Summary:
Its final energy is -5.4871 eV per atom. For the magnetic moment, the calculation gives 0.00 μB per atom.

Cell: 7.396 7.396 7.396 Å, 147.77 147.77 46.22°
Fractional positions:
Th: 0.000 0.000 0.000
Te: 0.383 0.383 0.000
Te: 0.617 0.617 0.000
Pd: 0.250 0.750 0.500
Pd: 0.750 0.250 0.500

---

No. 11
Tl2Te2Pd3: relaxed, PBE-GGA.

Summary:
Its final energy is -4.0871 eV per atom.

Cell: 6.331 6.331 6.331 Å, 55.66 55.66 55.66°
Fractional positions:
Tl: 0.000 0.000 0.000
Tl: 0.500 0.500 0.500
Te: 0.208 0.208 0.208
Te: 0.792 0.792 0.792
Pd: 0.000 0.500 0.500
Pd: 0.500 0.000 0.500
Pd: 0.500 0.500 0.000

---

No. 12
TlTe5Pd3: relaxed, PBE-GGA.

Summary:
Its final energy is -3.9239 eV per atom.

Cell: 5.917 5.917 7.785 Å, 90.00 90.00 120.00°
Fractional positions:
Tl: 0.000 0.000 0.000
Te: 0.000 0.000 0.500
Te: 0.333 0.667 0.225
Te: 0.333 0.667 0.775
Te: 0.667 0.333 0.225
Te: 0.667 0.333 0.775
Pd: 0.000 0.500 0.500
Pd: 0.500 0.000 0.500
Pd: 0.500 0.500 0.500

---

No. 13
Tl2Te4Pd3: relaxed, PBE-GGA.

Summary:
Its final energy is -3.9653 eV per atom.

Cell: 8.852 7.159 6.906 Å, 77.99 52.28 49.74°
Fractional positions:
Tl: 0.127 0.127 0.873
Tl: 0.873 0.873 0.127
Te: 0.200 0.518 0.482
Te: 0.482 0.800 0.200
Te: 0.518 0.200 0.800
Te: 0.800 0.482 0.518
Pd: 0.000 0.000 0.500
Pd: 0.500 0.500 0.000
Pd: 0.500 0.500 0.500

---

No. 14
Tl2Te3Pd: relaxed, PBE-GGA.

Summary:
Its final energy is -3.4747 eV per atom.

Cell: 7.816 4.261 10.749 Å, 90.00 91.98 90.00°
Fractional positions:
Tl: 0.077 0.250 0.152
Tl: 0.248 0.750 0.486
Tl: 0.752 0.250 0.514
Tl: 0.923 0.750 0.848
Te: 0.123 0.250 0.690
Te: 0.320 0.750 0.981
Te: 0.443 0.250 0.294
Te: 0.557 0.750 0.706
Te: 0.680 0.250 0.019
Te: 0.877 0.750 0.310
Pd: 0.423 0.250 0.839
Pd: 0.577 0.750 0.161

---

No. 15
TmTlTe3Pd: relaxed, PBE-GGA.

Summary:
As for the energy above the most stable polymorph in this dataset: 0.000 eV/atom. Its final energy is -4.2963 eV per atom. For the magnetic moment, the calculation gives 0.00 μB per atom.

Cell: 8.580 8.580 10.451 Å, 90.00 90.00 151.71°
Fractional positions:
Tm: 0.000 0.000 0.000
Tm: 0.000 0.000 0.500
Tl: 0.241 0.759 0.750
Tl: 0.759 0.241 0.250
Te: 0.091 0.909 0.250
Te: 0.373 0.627 0.069
Te: 0.373 0.627 0.431
Te: 0.627 0.373 0.569
Te: 0.627 0.373 0.931
Te: 0.909 0.091 0.750
Pd: 0.486 0.514 0.250
Pd: 0.514 0.486 0.750

---

No. 16
TmTlTe3Pd: relaxed, PBE-GGA.

Summary:
As for the energy above the most stable polymorph in this dataset: 0.017 eV/atom. Its final energy is -4.2795 eV per atom. For the magnetic moment, the calculation gives 0.00 μB per atom.

Cell: 8.906 4.177 10.884 Å, 90.00 112.49 90.00°
Fractional positions:
Tm: 0.195 0.250 0.152
Tm: 0.805 0.750 0.848
Tl: 0.237 0.750 0.704
Tl: 0.763 0.250 0.296
Te: 0.060 0.250 0.855
Te: 0.274 0.250 0.460
Te: 0.442 0.750 0.152
Te: 0.558 0.250 0.848
Te: 0.726 0.750 0.540
Te: 0.940 0.750 0.145
Pd: 0.407 0.750 0.387
Pd: 0.593 0.250 0.613

---

No. 17
YTlTe3Pd: relaxed, PBE-GGA.

Summary:
As for the energy above the most stable polymorph in this dataset: 0.000 eV/atom. Its final energy is -4.6513 eV per atom. For the magnetic moment, the calculation gives 0.00 μB per atom.

Cell: 8.589 8.589 10.496 Å, 90.00 90.00 151.36°
Fractional positions:
Y: 0.000 0.000 0.000
Y: 0.000 0.000 0.500
Tl: 0.242 0.758 0.750
Tl: 0.758 0.242 0.250
Te: 0.093 0.907 0.250
Te: 0.373 0.627 0.075
Te: 0.373 0.627 0.425
Te: 0.627 0.373 0.575
Te: 0.627 0.373 0.925
Te: 0.907 0.093 0.750
Pd: 0.490 0.510 0.250
Pd: 0.510 0.490 0.750

---

No. 18
YTlTe3Pd: relaxed, PBE-GGA.

Summary:
As for the energy above the most stable polymorph in this dataset: 0.018 eV/atom. Its final energy is -4.6334 eV per atom. For the magnetic moment, the calculation gives 0.00 μB per atom.

Cell: 8.955 4.205 10.935 Å, 90.00 112.28 90.00°
Fractional positions:
Y: 0.195 0.250 0.151
Y: 0.805 0.750 0.849
Tl: 0.236 0.750 0.703
Tl: 0.764 0.250 0.297
Te: 0.060 0.250 0.852
Te: 0.278 0.250 0.462
Te: 0.447 0.750 0.156
Te: 0.553 0.250 0.844
Te: 0.722 0.750 0.538
Te: 0.940 0.750 0.148
Pd: 0.406 0.750 0.388
Pd: 0.594 0.250 0.612